1.
Material: SiAs2HSe
Method: DFT, PBE
State: relaxed

Summary:
As for the relative energy among the computed polymorphs: 374 meV per atom. The energy comes out at -16.5 eV per cell.

abc: 4.798 4.798 4.883
angles: 90.00 90.00 90.00
Fractional coordinates of all 5 atoms:
H 0.500 0.500 0.500
As 0.000 0.500 0.000
As 0.500 0.000 0.000
Si 0.000 0.000 0.000
Se 0.000 0.000 0.500

=====

2.
Material: CdPRh2
Method: DFT, PBE
State: relaxed

Summary:
As for the relative energy among the computed polymorphs: 33 meV per atom. The energy comes out at -22.6 eV per cell. The calculation puts the energy of formation from the pure elements at -8.89 kcal/mol of atoms.

abc: 7.283 7.283 7.283
angles: 155.26 155.92 34.79
Fractional coordinates of all 4 atoms:
Cd 0.554 0.554 0.000
P 0.799 0.299 0.500
Rh 0.917 0.917 0.000
Rh 0.230 0.730 0.500

=====

3.
Material: HfHgMoRh2
Method: DFT, PBE
State: relaxed

Summary:
The energy comes out at -30.7 eV per cell. The calculation puts the energy of formation from the pure elements at 23.65 kcal/mol of atoms.

abc: 4.636 5.122 4.636
angles: 90.00 90.00 90.00
Fractional coordinates of all 5 atoms:
Rh 0.000 0.000 0.500
Rh 0.500 0.000 0.000
Mo 0.000 0.000 0.000
Hf 0.500 0.500 0.500
Hg 0.000 0.500 0.000

=====

4.
Material: HoTaPd14
Method: DFT, PBE
State: relaxed

Summary:
The energy comes out at -94.8 eV per cell. The calculation puts the energy of formation from the pure elements at -8.17 kcal/mol of atoms.

abc: 5.703 5.703 7.851
angles: 90.00 90.00 90.00
Fractional coordinates of all 16 atoms:
Ho 0.375 0.375 0.500
Ta 0.875 0.875 0.500
Pd 0.875 0.875 0.000
Pd 0.375 0.375 0.000
Pd 0.875 0.375 0.500
Pd 0.875 0.375 0.000
Pd 0.375 0.875 0.500
Pd 0.375 0.875 0.000
Pd 0.631 0.119 0.251
Pd 0.631 0.119 0.749
Pd 0.119 0.631 0.251
Pd 0.119 0.631 0.749
Pd 0.631 0.631 0.251
Pd 0.631 0.631 0.749
Pd 0.119 0.119 0.251
Pd 0.119 0.119 0.749

=====

5.
Material: SmMg2Sn
Method: DFT, PBE
State: relaxed

Summary:
As for the relative energy among the computed polymorphs: 0 meV per atom. The energy comes out at -13.7 eV per cell. The calculation puts the energy of formation from the pure elements at -10.08 kcal/mol of atoms.

abc: 4.808 4.558 4.558
angles: 90.00 90.00 90.00
Fractional coordinates of all 4 atoms:
Mg 0.000 0.000 0.500
Mg 0.000 0.500 0.000
Sn 0.500 0.500 0.500
Sm 0.500 0.000 0.000

=====

6.
Material: CaNiW4
Method: DFT, PBE
State: relaxed

Summary:
The energy comes out at -55.2 eV per cell. The calculation puts the energy of formation from the pure elements at 16.83 kcal/mol of atoms.

abc: 5.372 5.372 5.372
angles: 60.00 60.00 60.00
Fractional coordinates of all 6 atoms:
Ca 0.750 0.750 0.750
Ni 0.000 0.000 0.000
W 0.873 0.376 0.376
W 0.376 0.376 0.873
W 0.376 0.873 0.376
W 0.376 0.376 0.376

=====

7.
Material: Ca3Zn3Cd8
Method: DFT, PBE
State: relaxed

Summary:
The energy comes out at -20.2 eV per cell. The calculation puts the energy of formation from the pure elements at -4.95 kcal/mol of atoms.

abc: 4.833 8.668 8.668
angles: 73.28 73.81 73.81
Fractional coordinates of all 14 atoms:
Ca 0.500 0.500 0.500
Ca 0.787 0.213 0.213
Ca 0.213 0.787 0.787
Zn 0.500 0.000 0.000
Zn 0.000 0.861 0.139
Zn 0.000 0.139 0.861
Cd 0.631 0.079 0.659
Cd 0.369 0.921 0.341
Cd 0.631 0.659 0.079
Cd 0.369 0.341 0.921
Cd 0.862 0.779 0.498
Cd 0.138 0.221 0.502
Cd 0.862 0.498 0.779
Cd 0.138 0.502 0.221

=====

8.
Material: Sr2TiBi2
Method: DFT, PBE
State: relaxed

Summary:
The energy comes out at -41.9 eV per cell. The calculation puts the energy of formation from the pure elements at -8.79 kcal/mol of atoms.

abc: 7.969 7.969 5.049
angles: 90.00 90.00 90.00
Fractional coordinates of all 10 atoms:
Sr 0.161 0.661 0.500
Sr 0.661 0.839 0.500
Sr 0.839 0.339 0.500
Sr 0.339 0.161 0.500
Bi 0.345 0.845 0.000
Bi 0.845 0.655 0.000
Bi 0.655 0.155 0.000
Bi 0.155 0.345 0.000
Ti 0.000 0.000 0.000
Ti 0.500 0.500 0.000

=====

9.
Material: Li3Pr
Method: DFT, PBE
State: relaxed

Summary:
As for the relative energy among the computed polymorphs: 89 meV per atom. The energy comes out at -10.0 eV per cell. The calculation puts the energy of formation from the pure elements at 2.91 kcal/mol of atoms.

abc: 3.452 5.529 6.091
angles: 116.99 106.46 90.00
Fractional coordinates of all 4 atoms:
Pr 0.000 0.916 0.000
Li 0.221 0.638 0.442
Li 0.500 0.416 0.000
Li 0.779 0.196 0.558

=====

10.
Material: Pa2Ni4P3Rh
Method: DFT, PBE
State: relaxed

Summary:
The energy comes out at -74.0 eV per cell. The calculation puts the energy of formation from the pure elements at -19.04 kcal/mol of atoms.

abc: 3.826 3.826 10.021
angles: 90.00 90.00 90.00
Fractional coordinates of all 10 atoms:
Pa 0.500 0.000 0.249
Pa 0.000 0.500 0.751
Ni 0.500 0.500 0.000
Ni 0.000 0.000 0.000
Ni 0.500 0.000 0.660
Ni 0.000 0.500 0.340
P 0.000 0.000 0.500
P 0.500 0.000 0.877
P 0.000 0.500 0.123
Rh 0.500 0.500 0.500

=====

11.
Material: Li7SbO6
Method: DFT, PBE
State: relaxed

Summary:
The energy comes out at -73.3 eV per cell. The calculation puts the uncorrected formation energy at -1.859 eV/atom.

abc: 5.418 5.501 5.892
angles: 63.43 64.27 60.91
Fractional coordinates of all 14 atoms:
Li 0.101 0.740 0.626
Li 0.479 0.143 0.620
Li 0.352 0.352 0.990
Li 0.612 0.635 0.059
Li 0.496 0.900 0.368
Li 0.915 0.241 0.350
Li 0.801 0.501 0.619
Sb 0.004 0.987 0.006
O 0.090 0.361 0.795
O 0.231 0.911 0.240
O 0.631 0.216 0.232
O 0.383 0.766 0.767
O 0.786 0.101 0.742
O 0.889 0.634 0.228

=====

12.
Material: Rb2PtI7
Method: DFT, PBE
State: relaxed

Summary:
The energy comes out at -25.3 eV per cell. The calculation puts the uncorrected formation energy at -0.645 eV/atom.

abc: 8.415 8.415 8.657
angles: 60.92 60.92 90.00
Fractional coordinates of all 10 atoms:
I 0.500 0.500 0.000
I 0.214 0.214 0.572
I 0.786 0.786 0.428
I 0.231 0.231 0.000
I 0.769 0.769 0.000
I 0.769 0.231 0.000
I 0.231 0.769 0.000
Rb 0.750 0.250 0.500
Rb 0.250 0.750 0.500
Pt 0.000 0.000 0.000

=====

13.
Material: Ac3Er2Tl4
Method: DFT, PBE
State: relaxed

Summary:
As for the relative energy among the computed polymorphs: 0 meV per atom. The energy comes out at -33.4 eV per cell. The calculation puts the energy of formation from the pure elements at -6.48 kcal/mol of atoms.

abc: 5.101 7.027 9.627
angles: 75.29 74.64 68.72
Fractional coordinates of all 9 atoms:
Ac 0.361 0.587 0.690
Ac 0.000 0.000 0.000
Ac 0.639 0.413 0.310
Er 0.348 0.980 0.324
Er 0.652 0.020 0.676
Tl 0.306 0.343 0.044
Tl 0.694 0.657 0.956
Tl 0.078 0.256 0.589
Tl 0.922 0.744 0.411

=====

14.
Material: MgZnC3
Method: DFT, PBE
State: relaxed

Summary:
As for the relative energy among the computed polymorphs: 0 meV per atom. The energy comes out at -18.1 eV per cell. The calculation puts the energy of formation from the pure elements at 57.20 kcal/mol of atoms.

abc: 3.986 3.986 3.986
angles: 90.00 90.00 90.00
Fractional coordinates of all 5 atoms:
C 0.000 0.500 0.000
C 0.000 0.000 0.500
C 0.500 0.000 0.000
Zn 0.000 0.000 0.000
Mg 0.500 0.500 0.500

=====

15.
Material: Cr2Pd4Au3
Method: DFT, PBE
State: relaxed

Summary:
The energy comes out at -50.3 eV per cell. The calculation puts the energy of formation from the pure elements at -1.24 kcal/mol of atoms.

abc: 4.039 4.881 8.469
angles: 74.02 90.04 65.57
Fractional coordinates of all 9 atoms:
Cr 0.333 0.333 0.783
Cr 0.667 0.667 0.217
Pd 0.667 0.666 0.890
Pd 0.999 0.002 0.329
Pd 0.001 0.998 0.671
Pd 0.333 0.334 0.110
Au 0.333 0.334 0.443
Au 0.000 0.000 0.000
Au 0.667 0.666 0.557